No. 1
Computed, not measured: crystalline LaSmMg at its relaxed geometry at the PBE-GGA level of DFT.

Calculated values
Symmetry   Cmcm, No. 63
Total DFT energy (no corrections)   -22.791 eV/cell
Calculated density   5433 kg/m³
Spin magnetization   0.000 μB/cell

Cell lengths 7.0553, 7.0553, 5.4262 Å; angles 90.00, 90.00, 134.80 degrees
Closest atoms and distances in Å follow each position.
Element x y z (fractional)
La1 0.0906 0.9094 0.7500  4 Mg 3.41-3.42, 2 La 3.60, 2 Sm 3.65
La2 0.9094 0.0906 0.2500  4 Mg 3.41-3.42, 2 La 3.60, 2 Sm 3.65
Sm1 0.4035 0.5965 0.7500  4 Mg 3.36-3.38, 2 La 3.65, 2 Sm 3.70
Sm2 0.5965 0.4035 0.2500  4 Mg 3.36-3.38, 2 La 3.65, 2 Sm 3.70
Mg1 0.2494 0.7506 0.2500  4 Sm 3.36-3.38, 4 La 3.41-3.42
Mg2 0.7506 0.2494 0.7500  4 Sm 3.36-3.38, 4 La 3.41-3.42

No. 2
Computed, not measured: crystalline La4SmMg at its relaxed geometry at the PBE-GGA level of DFT.

Calculated values
Symmetry   Cmc2_1, No. 36
Total DFT energy (no corrections)   -52.043 eV/cell
Calculated density   5842 kg/m³
Spin magnetization   0.000 μB/cell

Cell lengths 6.8967, 6.8967, 11.5812 Å; angles 90.00, 90.00, 131.09 degrees
Closest atoms and distances in Å follow each position.
Element x y z (fractional)
La1 0.0032 0.9968 0.5000  2 Mg 3.47-3.48, 2 Sm 3.63, 4 La 3.67-3.70
La2 0.1816 0.8184 0.7544  2 Mg 3.53, 8 La 3.67-3.81, 3 Sm 3.69-3.83
La3 0.3180 0.6820 0.4726  1 Mg 3.33, 2 Sm 3.43, 4 La 3.55-3.70
La4 0.4829 0.5171 0.7547  2 Mg 3.33, 1 Sm 3.54, 1 La 3.55
La5 0.5171 0.4829 0.2547  2 Mg 3.33, 1 Sm 3.54, 1 La 3.55
La6 0.6820 0.3180 0.9726  1 Mg 3.33, 2 Sm 3.43, 4 La 3.55-3.70
La7 0.8184 0.1816 0.2544  2 Mg 3.53, 8 La 3.67-3.81, 3 Sm 3.69-3.83
La8 0.9968 0.0032 0.0000  2 Mg 3.47-3.48, 2 Sm 3.63, 4 La 3.67-3.70
Sm1 0.3215 0.6785 0.0346  1 Mg 3.25, 5 La 3.43-3.63
Sm2 0.6785 0.3215 0.5346  1 Mg 3.25, 5 La 3.43-3.63
Mg1 0.1531 0.8469 0.2471  1 Sm 3.25, 7 La 3.33-3.53
Mg2 0.8469 0.1531 0.7471  1 Sm 3.25, 7 La 3.33-3.53

No. 3
Computed, not measured: crystalline La9Sm4Mg11 at its relaxed geometry at the PBE-GGA level of DFT.

Calculated values
Symmetry   Cmmm, No. 65
Total DFT energy (no corrections)   -82.240 eV/cell
Calculated density   4752 kg/m³
Spin magnetization   0.000 μB/cell

Cell lengths 14.4850, 14.4850, 3.7938 Å; angles 90.00, 90.00, 111.53 degrees
Closest atoms and distances in Å follow each position.
Element x y z (fractional)
La1 0.0000 0.0000 0.0000  4 Sm 3.32
La2 0.1244 0.6444 0.0000  8 Mg 3.40-3.58, 1 Sm 3.59, 3 La 3.77-3.79
La3 0.2912 0.4604 0.0000  8 Mg 3.42-3.48, 1 Sm 3.65, 2 La 3.79
La4 0.3556 0.8756 0.0000  8 Mg 3.40-3.58, 1 Sm 3.59, 3 La 3.77-3.79
La5 0.4604 0.2912 0.0000  8 Mg 3.42-3.48, 1 Sm 3.65, 2 La 3.79
La6 0.5396 0.7088 0.0000  8 Mg 3.42-3.48, 1 Sm 3.65, 2 La 3.79
La7 0.6444 0.1244 0.0000  8 Mg 3.40-3.58, 1 Sm 3.59, 3 La 3.77-3.79
La8 0.7088 0.5396 0.0000  8 Mg 3.42-3.48, 1 Sm 3.65, 2 La 3.79
La9 0.8756 0.3556 0.0000  8 Mg 3.40-3.58, 1 Sm 3.59, 3 La 3.77-3.79
Sm1 0.0595 0.2442 0.0000  6 Mg 3.30-3.33, 3 La 3.32-3.65
Sm2 0.2442 0.0595 0.0000  6 Mg 3.30-3.33, 3 La 3.32-3.65
Sm3 0.7558 0.9405 0.0000  6 Mg 3.30-3.33, 3 La 3.32-3.65
Sm4 0.9405 0.7558 0.0000  6 Mg 3.30-3.33, 3 La 3.32-3.65
Mg1 0.0870 0.4392 0.5000  2 Sm 3.30, 6 La 3.40-3.43, 1 Mg 3.56
Mg2 0.1409 0.8591 0.5000  4 Sm 3.33, 4 La 3.58
Mg3 0.2470 0.2470 0.5000  4 Sm 3.30, 4 La 3.48
Mg4 0.3319 0.6681 0.5000  8 La 3.42-3.46, 2 Mg 3.79
Mg5 0.4392 0.0870 0.5000  2 Sm 3.30, 6 La 3.40-3.43, 1 Mg 3.56
Mg6 0.5000 0.5000 0.5000  8 La 3.44, 2 Mg 3.79
Mg7 0.5608 0.9130 0.5000  2 Sm 3.30, 6 La 3.40-3.43, 1 Mg 3.56
Mg8 0.6681 0.3319 0.5000  8 La 3.42-3.46, 2 Mg 3.79
Mg9 0.7530 0.7530 0.5000  4 Sm 3.30, 4 La 3.48
Mg10 0.8591 0.1409 0.5000  4 Sm 3.33, 4 La 3.58
Mg11 0.9130 0.5608 0.5000  2 Sm 3.30, 6 La 3.40-3.43, 1 Mg 3.56

No. 4
Computed, not measured: crystalline LaSm3Mg at its relaxed geometry at the PBE-GGA level of DFT.

Calculated values
Symmetry   P2_1/m, No. 11
Total DFT energy (no corrections)   -39.711 eV/cell
Calculated density   5747 kg/m³
Spin magnetization   0.003 μB/cell

Cell lengths 3.6742, 11.3028, 8.7388 Å; angles 90.00, 102.02, 90.00 degrees
Closest atoms and distances in Å follow each position.
Element x y z (fractional)
La1 0.0126 0.2500 0.0336  2 Mg 3.33, 2 Sm 3.64-3.66, 2 La 3.67
La2 0.9874 0.7500 0.9664  2 Mg 3.33, 2 Sm 3.64-3.66, 2 La 3.67
Sm1 0.1580 0.5095 0.3136  2 Mg 3.29, 5 Sm 3.54-3.67
Sm2 0.1580 0.9905 0.3136  2 Mg 3.29, 5 Sm 3.54-3.67
Sm3 0.2990 0.7500 0.5973  2 Mg 3.20, 4 Sm 3.54-3.55
Sm4 0.7010 0.2500 0.4027  2 Mg 3.20, 4 Sm 3.54-3.55
Sm5 0.8420 0.0095 0.6864  2 Mg 3.29, 5 Sm 3.54-3.67
Sm6 0.8420 0.4905 0.6864  2 Mg 3.29, 5 Sm 3.54-3.67
Mg1 0.3527 0.2500 0.7090  6 Sm 3.20-3.29, 2 La 3.33
Mg2 0.6473 0.7500 0.2910  6 Sm 3.20-3.29, 2 La 3.33

No. 5
Computed, not measured: crystalline La7Sm3Mg at its relaxed geometry at the PBE-GGA level of DFT.

Calculated values
Symmetry   C2/m, No. 12
Total DFT energy (no corrections)   -47.991 eV/cell
Calculated density   5956 kg/m³
Spin magnetization   0.001 μB/cell

Cell lengths 7.8484, 7.8484, 6.5896 Å; angles 90.21, 90.21, 83.94 degrees
Closest atoms and distances in Å follow each position.
Element x y z (fractional)
La1 0.0000 0.0000 0.0000  2 Mg 3.29, 6 La 3.33-3.64, 2 Sm 3.52
La2 0.0514 0.3967 0.2704  5 La 3.47-3.65, 1 Mg 3.53, 2 Sm 3.59-3.69
La3 0.2602 0.2602 0.7946  5 La 3.33-3.65, 3 Sm 3.41-3.55, 1 Mg 3.60
La4 0.3967 0.0514 0.2704  5 La 3.47-3.65, 1 Mg 3.53, 2 Sm 3.59-3.69
La5 0.6033 0.9486 0.7296  5 La 3.47-3.65, 1 Mg 3.53, 2 Sm 3.59-3.69
La6 0.7398 0.7398 0.2054  5 La 3.33-3.65, 3 Sm 3.41-3.55, 1 Mg 3.60
La7 0.9486 0.6033 0.7296  5 La 3.47-3.65, 1 Mg 3.53, 2 Sm 3.59-3.69
Sm1 0.3357 0.6643 0.0000  3 Sm 3.45-3.72, 7 La 3.52-3.69
Sm2 0.5000 0.5000 0.5000  2 La 3.41, 4 Sm 3.72
Sm3 0.6643 0.3357 0.0000  3 Sm 3.45-3.72, 7 La 3.52-3.69
Mg1 0.0000 0.0000 0.5000  8 La 3.29-3.60

No. 6
Computed, not measured: crystalline La12Sm5Mg at its relaxed geometry at the PBE-GGA level of DFT.

Calculated values
Symmetry   P-1, No. 2
Total DFT energy (no corrections)   -84.078 eV/cell
Calculated density   6382 kg/m³
Spin magnetization   0.000 μB/cell

Cell lengths 6.3913, 11.0098, 11.0353 Å; angles 119.89, 106.58, 90.02 degrees
Closest atoms and distances in Å follow each position.
Element x y z (fractional)
La1 0.9999 0.1689 0.9999  1 Mg 3.65, 7 La 3.67-3.72, 4 Sm 3.70
La2 0.0001 0.8311 0.0001  1 Mg 3.65, 7 La 3.67-3.72, 4 Sm 3.70
La3 0.1672 0.0001 0.6663  7 La 3.66-3.71, 5 Sm 3.67-3.69
La4 0.1670 0.6658 0.6661  7 La 3.66-3.70, 5 Sm 3.66-3.69
La5 0.3357 0.4993 0.3330  7 La 3.66-3.70, 4 Sm 3.66-3.70, 1 Mg 3.69
La6 0.3357 0.8341 0.3331  7 La 3.66-3.70, 4 Sm 3.66-3.70, 1 Mg 3.70
La7 0.4993 0.6635 0.0000  7 La 3.60-3.71, 2 Mg 3.66-3.67, 3 Sm 3.67-3.71
La8 0.5007 0.3365 0.0000  7 La 3.60-3.71, 2 Mg 3.66-3.67, 3 Sm 3.67-3.71
La9 0.6643 0.1659 0.6669  7 La 3.66-3.70, 4 Sm 3.66-3.70, 1 Mg 3.70
La10 0.6643 0.5007 0.6670  7 La 3.66-3.70, 4 Sm 3.66-3.70, 1 Mg 3.69
La11 0.8328 0.9999 0.3337  7 La 3.66-3.71, 5 Sm 3.67-3.69
La12 0.8330 0.3342 0.3339  7 La 3.66-3.70, 5 Sm 3.66-3.69
Sm1 0.1632 0.3335 0.6673  1 Mg 3.66, 10 La 3.66-3.70, 1 Sm 3.69
Sm2 0.3323 0.1669 0.3335  10 La 3.66-3.70, 2 Sm 3.69
Sm3 0.5000 0.0000 0.0000  2 Sm 3.69, 10 La 3.69-3.71
Sm4 0.6677 0.8331 0.6665  10 La 3.66-3.70, 2 Sm 3.69
Sm5 0.8368 0.6665 0.3327  1 Mg 3.66, 10 La 3.66-3.70, 1 Sm 3.69
Mg1 0.0000 0.5000 0.0000  10 La 3.65-3.70, 2 Sm 3.66

No. 7
Computed, not measured: crystalline LaSm4Mg at its relaxed geometry at the PBE-GGA level of DFT.

Calculated values
Symmetry   Cmc2_1, No. 36
Total DFT energy (no corrections)   -50.532 eV/cell
Calculated density   6433 kg/m³
Spin magnetization   0.001 μB/cell

Cell lengths 6.7558, 6.7558, 11.4419 Å; angles 90.00, 90.00, 130.90 degrees
Closest atoms and distances in Å follow each position.
Element x y z (fractional)
La1 0.1800 0.8200 0.5000  1 Mg 3.35, 6 Sm 3.42-3.64
La2 0.8200 0.1800 0.0000  1 Mg 3.35, 6 Sm 3.42-3.64
Sm1 0.0206 0.9794 0.2163  2 Mg 3.24, 1 Sm 3.48, 1 La 3.49
Sm2 0.1716 0.8284 0.9393  1 Mg 3.23, 2 La 3.42, 3 Sm 3.48-3.50
Sm3 0.3196 0.6804 0.2198  2 Mg 3.49, 8 Sm 3.58-3.77, 3 La 3.64-3.77
Sm4 0.4951 0.5049 0.4786  2 Mg 3.40-3.43, 4 Sm 3.50-3.66, 2 La 3.62
Sm5 0.5049 0.4951 0.9786  2 Mg 3.40-3.43, 4 Sm 3.50-3.66, 2 La 3.62
Sm6 0.6804 0.3196 0.7198  2 Mg 3.49, 8 Sm 3.58-3.77, 3 La 3.64-3.77
Sm7 0.8284 0.1716 0.4393  1 Mg 3.23, 2 La 3.42, 3 Sm 3.48-3.50
Sm8 0.9794 0.0206 0.7163  2 Mg 3.24, 1 Sm 3.48, 1 La 3.49
Mg1 0.3487 0.6513 0.7303  7 Sm 3.23-3.49, 1 La 3.35
Mg2 0.6513 0.3487 0.2303  7 Sm 3.23-3.49, 1 La 3.35

No. 8
Computed, not measured: crystalline La2Sm2Mg at its relaxed geometry at the PBE-GGA level of DFT.

Calculated values
Symmetry   I4/mmm, No. 139
Total DFT energy (no corrections)   -19.190 eV/cell
Calculated density   5445 kg/m³
Spin magnetization   0.306 μB/cell

Cell lengths 9.5969, 9.5969, 9.5969 Å; angles 152.84, 152.84, 38.79 degrees
Closest atoms and distances in Å follow each position.
Element x y z (fractional)
La1 0.0903 0.0903 0.0000  1 La 3.27, 4 Mg 3.58
La2 0.9097 0.9097 0.0000  1 La 3.27, 4 Mg 3.58
Sm1 0.2500 0.7500 0.5000  4 Sm 3.19
Sm2 0.7500 0.2500 0.5000  4 Sm 3.19
Mg1 0.5000 0.5000 0.0000  8 La 3.58

No. 9
Computed, not measured: crystalline La3Sm2Mg2 at its relaxed geometry at the PBE-GGA level of DFT.

Calculated values
Symmetry   Cmmm, No. 65
Total DFT energy (no corrections)   -27.158 eV/cell
Calculated density   5501 kg/m³
Spin magnetization   0.000 μB/cell

Cell lengths 15.8957, 15.8957, 3.7790 Å; angles 90.00, 90.00, 165.98 degrees
Closest atoms and distances in Å follow each position.
Element x y z (fractional)
La1 0.0000 0.0000 0.0000  12 La 3.75-3.88
La2 0.4180 0.5820 0.5000  4 Mg 3.39, 6 La 3.75-3.78
La3 0.5820 0.4180 0.5000  4 Mg 3.39, 6 La 3.75-3.78
Sm1 0.2943 0.7057 0.5000  4 Mg 3.29, 2 Sm 3.40
Sm2 0.7057 0.2943 0.5000  4 Mg 3.29, 2 Sm 3.40
Mg1 0.1465 0.8535 0.0000  4 Sm 3.29, 4 La 3.39
Mg2 0.8535 0.1465 0.0000  4 Sm 3.29, 4 La 3.39

No. 10
Computed, not measured: crystalline LaSm3Mg at its relaxed geometry at the PBE-GGA level of DFT.

Calculated values
Symmetry   C2/m, No. 12
Total DFT energy (no corrections)   -41.502 eV/cell
Calculated density   6216 kg/m³
Spin magnetization   0.000 μB/cell

Cell lengths 6.9557, 6.9557, 12.9818 Å; angles 93.40, 93.40, 31.57 degrees
Closest atoms and distances in Å follow each position.
Element x y z (fractional)
La1 0.2333 0.2333 0.2551  2 Mg 3.44, 8 Sm 3.64-3.84, 2 La 3.78
La2 0.7667 0.7667 0.7449  2 Mg 3.44, 8 Sm 3.64-3.84, 2 La 3.78
Sm1 0.0377 0.0377 0.6880  2 Mg 3.36, 5 Sm 3.56-3.66, 3 La 3.64-3.75
Sm2 0.1490 0.1490 0.9453  4 Mg 3.33-3.37, 3 Sm 3.53-3.57, 2 La 3.65
Sm3 0.3661 0.3661 0.5256  9 Sm 3.56-3.78, 3 La 3.73-3.84
Sm4 0.6339 0.6339 0.4744  9 Sm 3.56-3.78, 3 La 3.73-3.84
Sm5 0.8510 0.8510 0.0547  4 Mg 3.33-3.37, 3 Sm 3.53-3.57, 2 La 3.65
Sm6 0.9623 0.9623 0.3120  2 Mg 3.36, 5 Sm 3.56-3.66, 3 La 3.64-3.75
Mg1 0.4479 0.4479 0.8753  6 Sm 3.33-3.37, 2 La 3.44, 1 Mg 3.45
Mg2 0.5521 0.5521 0.1247  6 Sm 3.33-3.37, 2 La 3.44, 1 Mg 3.45